Entry 1:
# RbCr2Au

A geometry-optimized RbCr2Au structure (PBE, Alexandria via LeMat-Bulk).

Geometry as POSCAR:
```
RbCr2Au
1.0
-2.8016 2.8016 9.1482
2.8016 -2.8016 9.1482
2.8016 2.8016 -9.1482
Rb Cr Au
2 4 2
direct
0.3750 0.6250 0.7500
0.6250 0.3750 0.2500
0.0000 0.0000 0.0000
0.0000 0.0000 0.5000
0.0000 0.5000 0.0000
0.5000 0.0000 0.5000
0.1250 0.8750 0.2500
0.8750 0.1250 0.7500
```

Calculated total energy (eV per atom): -4.959
Relative energy among the computed polymorphs (meV/atom): 0
Space group: I4_1/amd (141)

Entry 2:
# Sm4AlGa3

A geometry-optimized Sm4AlGa3 structure (PBE, Alexandria via LeMat-Bulk).

Geometry as POSCAR:
```
Sm4AlGa3
1.0
4.1401 0.0000 0.0000
0.0000 4.4617 0.0000
0.0000 0.0000 11.2331
Sm Al Ga
4 1 3
direct
0.0000 0.0000 0.0000
0.0000 0.5000 0.4960
0.5000 0.0000 0.7152
0.5000 0.5000 0.2186
0.0000 0.5000 0.7896
0.0000 0.0000 0.2843
0.5000 0.0000 0.4299
0.5000 0.5000 0.9334
```

Calculated total energy (eV per atom): -4.508
Space group: Pmm2 (25)

Entry 3:
# PdRh8

A geometry-optimized PdRh8 structure (PBE, Alexandria via LeMat-Bulk).

Geometry as POSCAR:
```
PdRh8
1.0
-4.0898 4.0898 1.9226
4.0898 -4.0898 1.9226
4.0898 4.0898 -1.9226
Pd Rh
1 8
direct
0.0000 0.0000 0.0000
0.0000 0.3357 0.3357
0.0000 0.6643 0.6643
0.3306 0.3306 0.6612
0.3306 0.6694 0.0000
0.3357 0.0000 0.3357
0.6643 0.0000 0.6643
0.6694 0.3306 0.0000
0.6694 0.6694 0.3388
```

Calculated total energy (eV per atom): -7.080
Space group: I4/mmm (139)

Entry 4:
# BeNi2Au

A geometry-optimized BeNi2Au structure (PBE, Alexandria via LeMat-Bulk).

Geometry as POSCAR:
```
BeNi2Au
1.0
2.7617 0.0000 0.0000
0.0000 2.7617 0.0000
0.0000 0.0000 6.1942
Be Ni Au
1 2 1
direct
0.0000 0.0000 0.0000
0.0000 0.0000 0.4239
0.5000 0.5000 0.1808
0.5000 0.5000 0.7323
```

Calculated total energy (eV per atom): -4.735
Space group: P4mm (99)

Entry 5:
# MnMoCl2

A geometry-optimized MnMoCl2 structure (PBE, Alexandria via LeMat-Bulk).

Geometry as POSCAR:
```
MnMoCl2
1.0
2.9117 0.0000 0.0000
0.0000 4.1828 0.0000
0.0000 0.0000 5.7436
Mn Mo Cl
1 1 2
direct
0.0000 0.0000 0.0000
0.5000 0.0000 0.5000
0.0000 0.5000 0.5000
0.5000 0.5000 0.0000
```

Calculated total energy (eV per atom): -5.523
Relative energy among the computed polymorphs (meV/atom): 704
ΔE_f (raw) (eV/atom): 0.400
Space group: Pmmm (47)

Entry 6:
# Tb2NdS

A geometry-optimized Tb2NdS structure (PBE, Alexandria via LeMat-Bulk).

Geometry as POSCAR:
```
Tb2NdS
1.0
1.8445 1.0649 10.2175
-1.8445 1.0649 10.2175
0.0000 -2.1298 10.2175
Tb Nd S
2 1 1
direct
0.1129 0.1129 0.1129
0.8871 0.8871 0.8871
0.0000 0.0000 0.0000
0.5000 0.5000 0.5000
```

Calculated total energy (eV per atom): -5.301
Relative energy among the computed polymorphs (meV/atom): 184
ΔE_f (raw) (eV/atom): -0.763
Space group: R-3m (166)

Entry 7:
# Mg3RhBr

A geometry-optimized Mg3RhBr structure (PBE, Alexandria via LeMat-Bulk).

Geometry as POSCAR:
```
Mg3RhBr
1.0
5.0188 0.0000 0.0000
0.0000 5.0188 0.0000
0.0000 0.0000 5.0188
Mg Rh Br
3 1 1
direct
0.0000 0.0000 0.5000
0.0000 0.5000 0.0000
0.5000 0.0000 0.0000
0.0000 0.0000 0.0000
0.5000 0.5000 0.5000
```

Calculated total energy (eV per atom): -2.959
Relative energy among the computed polymorphs (meV/atom): 0
ΔE_f (raw) (eV/atom): -0.197
Space group: Pm-3m (221)

Entry 8:
# PPtIO2

A geometry-optimized PPtIO2 structure (PBE, Alexandria via LeMat-Bulk).

Geometry as POSCAR:
```
PPtIO2
1.0
3.6317 0.0000 0.0000
0.0000 3.6317 0.0000
0.0000 0.0000 6.2758
P Pt I O
1 1 1 2
direct
0.0000 0.0000 0.0000
0.5000 0.5000 0.5000
0.0000 0.0000 0.5000
0.0000 0.5000 0.0000
0.5000 0.0000 0.0000
```

Calculated total energy (eV per atom): -4.669
Relative energy among the computed polymorphs (meV/atom): 0
ΔE_f (raw) (eV/atom): -0.085
Space group: P4/mmm (123)

In states/eV per atom, the N(E_F) values for the records above are, in order, 1.031 1.021 1.252 0.737 0.949 1.370 0.439 0.495.